Record 1
The following is a DFT calculation (PBE) of an optimized crystal structure of La2ZnCdFe.

Computed properties:
- Space-group type: P4/mmm (123)
- E_form: -0.11 eV/atom
- Volume: 128.6 Å³ per cell

```
La2ZnCdFe
1.0
5.1409 0.0000 0.0000
0.0000 5.1409 0.0000
0.0000 0.0000 4.8651
Zn Cd Fe La
1 1 1 2
direct
0.0000 0.0000 0.5000
0.5000 0.5000 0.5000
0.0000 0.0000 0.0000
0.0000 0.5000 0.0000
0.5000 0.0000 0.0000
```


Record 2
The following is a DFT calculation (PBE) of an optimized crystal structure of LiCdFe.

Computed properties:
- Space-group type: F-43m (216)
- E_form: 0.61 eV/atom
- E above lowest polymorph: 0.366 eV/atom
- Volume: 59.5 Å³ per cell

```
LiCdFe
1.0
4.3812 0.0000 0.0000
2.1906 3.7942 0.0000
2.1906 1.2647 3.5772
Cd Fe Li
1 1 1
direct
0.5000 0.5000 0.5000
0.2500 0.2500 0.2500
0.0000 0.0000 0.0000
```


Record 3
The following is a DFT calculation (PBE) of an optimized crystal structure of LiCd2Fe.

Computed properties:
- Space-group type: Cm (8)
- E_form: 0.15 eV/atom
- Volume: 68.8 Å³ per cell

```
LiCd2Fe
1.0
5.2621 0.0390 0.2131
4.4360 2.8307 0.2131
1.1210 0.3317 4.7194
Cd Fe Li
2 1 1
direct
0.0038 0.0038 0.9450
0.2413 0.2413 0.3153
0.4968 0.4968 0.4497
0.7581 0.7581 0.7900
```


Record 4
The following is a DFT calculation (PBE) of an optimized crystal structure of LiCd2Fe.

Computed properties:
- Space-group type: Pmm2 (25)
- E_form: 0.18 eV/atom
- Volume: 69.7 Å³ per cell

```
LiCd2Fe
1.0
2.8762 0.0000 0.0000
0.0000 4.2302 0.0000
0.0000 0.0000 5.7248
Cd Fe Li
2 1 1
direct
0.0000 0.0000 0.9779
0.5000 0.5000 0.2808
0.0000 0.0000 0.4945
0.5000 0.5000 0.7469
```


Record 5
The following is a DFT calculation (PBE) of an optimized crystal structure of LiCdFe2.

Computed properties:
- Space-group type: I4/mmm (139)
- E_form: 0.24 eV/atom
- Volume: 56.0 Å³ per cell

```
LiCdFe2
1.0
5.0003 -0.0089 0.0000
2.4027 4.3852 0.0000
-3.7015 -2.1881 2.5522
Cd Fe Li
1 2 1
direct
0.7500 0.2500 0.5000
0.0000 0.0000 0.0000
0.5000 0.5000 0.0000
0.2500 0.7500 0.5000
```


Record 6
The following is a DFT calculation (PBE) of an optimized crystal structure of LiCd2Fe.

Computed properties:
- Space-group type: R-3m (166)
- E_form: 0.13 eV/atom
- Volume: 69.9 Å³ per cell

```
LiCd2Fe
1.0
-2.8859 -6.4368 6.6088
-0.0293 -7.0011 6.6649
-1.1197 -4.8440 8.2897
Cd Fe Li
2 1 1
direct
0.9980 0.9980 0.9980
0.5020 0.5020 0.5020
0.2500 0.2500 0.2500
0.7500 0.7500 0.7500
```


Record 7
The following is a DFT calculation (PBE) of an optimized crystal structure of LiCdFe2.

Computed properties:
- Space-group type: P2/m (10)
- E_form: 0.28 eV/atom
- Volume: 57.2 Å³ per cell

```
LiCdFe2
1.0
4.5628 0.0000 0.0000
0.0000 2.6553 0.0011
0.0000 0.8429 4.7248
Cd Fe Li
1 2 1
direct
0.5000 0.7500 0.7500
0.0000 0.0443 0.0173
0.0000 0.4557 0.4827
0.5000 0.2500 0.2500
```


Record 8
The following is a DFT calculation (PBE) of an optimized crystal structure of LiCdFe2.

Computed properties:
- Space-group type: I-4m2 (119)
- E_form: 0.27 eV/atom
- Volume: 56.2 Å³ per cell

```
LiCdFe2
1.0
-0.2022 -2.4316 -3.5347
0.4674 -3.5158 2.4225
-3.1572 2.7818 0.8611
Cd Fe Li
1 2 1
direct
0.7500 0.2500 0.5000
0.0000 0.0000 0.0000
0.2500 0.7500 0.5000
0.5000 0.5000 0.0000
```